# V2O3, relaxed, DFT GGA+U
# uncorrected energy: -7.36 eV/atom
data_V2O3
_chemical_formula_sum 'V6 O9'
_cell_length_a 6.1767
_cell_length_b 6.1767
_cell_length_c 9.3523
_cell_angle_alpha 90.00
_cell_angle_beta 90.00
_cell_angle_gamma 120.00
_symmetry_space_group_name_H-M 'R -3 m'
_symmetry_Int_Tables_number 166
_symmetry_space_group_name_Hall '-R 3 2"'
loop_
_atom_site_label
_atom_site_type_symbol
_atom_site_fract_x
_atom_site_fract_y
_atom_site_fract_z
V1 V 0.0000 0.0000 0.1400
O1 O 0.0000 0.5000 0.5000